1.
Sc4FeSn2 | PBE | optimized geometry

Cell and atoms, written as POSCAR:
```
Sc4FeSn2
1.0
-4.274 0.817 -1.572
-1.614 -3.486 2.578
-4.156 3.528 6.321
Sc Sn Fe
4 2 1
direct
0.000 0.500 0.000 Sc
0.170 0.170 0.661 Sc
0.500 0.000 0.000 Sc
0.830 0.830 0.339 Sc
0.360 0.360 0.279 Sn
0.640 0.640 0.721 Sn
0.000 0.000 0.000 Fe
```

Properties
Its symmetry is I4/mmm. As for the total energy: -6.25 eV/atom. The magnetic moment comes out at 0.00 μB per formula unit. The formation energy comes out at -0.28 eV/atom. The value obtained for the density of states at the Fermi level is 4.05 states/eV per cell.

***

2.
K2LaCl | PBE | optimized geometry

Cell and atoms, written as POSCAR:
```
K2LaCl
1.0
7.431 0.023 -0.006
-4.765 5.702 -0.006
0.007 0.015 3.938
K La Cl
2 1 1
direct
0.500 0.500 0.000 K
0.000 0.000 0.000 K
0.500 0.000 0.500 La
0.000 0.500 0.500 Cl
```

Properties
As for the formation energy without anion corrections: -296 meV per atom. Its symmetry is C2/m. As for the total energy: -2.54 eV/atom. The magnetic moment comes out at 0.88 μB per formula unit. The value obtained for the density of states at the Fermi level is 4.61 states/eV per cell.

***

3.
ZrSc2Br | PBE | optimized geometry

Cell and atoms, written as POSCAR:
```
ZrSc2Br
1.0
-1.770 4.400 -3.291
-4.791 -0.921 -3.086
1.583 -0.687 5.509
Sc Br Zr
2 1 1
direct
0.250 0.750 0.500 Sc
0.000 0.000 0.000 Sc
0.750 0.250 0.500 Br
0.500 0.500 0.000 Zr
```

Properties
As for the formation energy without anion corrections: 79 meV per atom. Its symmetry is I-4m2. As for the total energy: -5.64 eV/atom. The magnetic moment comes out at 0.00 μB per formula unit. The value obtained for the density of states at the Fermi level is 5.01 states/eV per cell.

***

4.
TeIr2Se | PBE | optimized geometry

Cell and atoms, written as POSCAR:
```
TeIr2Se
1.0
3.850 0.028 -0.024
2.011 3.283 -0.024
1.844 1.042 6.009
Ir Se Te
2 1 1
direct
0.007 0.007 0.971 Ir
0.493 0.493 0.529 Ir
0.750 0.750 0.750 Se
0.250 0.250 0.250 Te
```

Properties
As for the formation energy without anion corrections: 382 meV per atom. Its symmetry is C2/m. As for the total energy: -5.71 eV/atom. The magnetic moment comes out at 0.00 μB per formula unit. The value obtained for the density of states at the Fermi level is 2.42 states/eV per cell.